No. 1
# ScBiO2

A relaxed structure of ScBiO2 (GGA-PBE, the Alexandria database).

Lattice parameters (Å, degrees): 3.7682 3.7682 18.2757 90.00 90.00 120.00
Space group R-3m (No. 166, hexagonal axes)
Asymmetric unit:
Sc: 0.0000 0.0000 0.0000 [3 per cell]
Bi: 0.0000 0.0000 0.5000 [3 per cell]
O: 0.0000 0.0000 0.1085 [6 per cell]

Summary:
ΔE_f (raw)	-1.4451	eV per atom

***

No. 2
# Nd2Y3Ho6Th

A relaxed structure of Nd2Y3Ho6Th (GGA-PBE, the Alexandria database).

Lattice parameters (Å, degrees): 6.195 10.717 11.798 90.00 100.08 90.00
Space group C2/m (No. 12)
Asymmetric unit:
Nd: 0.000 0.167 0.000 [4 per cell]
Y: 0.000 0.000 0.500 [2 per cell]
Y: 0.000 0.333 0.500 [4 per cell]
Ho: 0.245 0.500 0.750 [4 per cell]
Ho: 0.249 0.335 0.250 [8 per cell]
Th: 0.000 0.500 0.000 [2 per cell]

Summary:
energy of formation from the pure elements	0.38	eV per formula unit

***

No. 3
# KCoRe4

A relaxed structure of KCoRe4 (GGA-PBE, the Alexandria database).

Lattice parameters (Å, degrees): 7.494 7.494 7.494 90.00 90.00 90.00
Space group F-43m (No. 216)
Asymmetric unit:
K: 0.000 0.000 0.000 [4 per cell]
Co: 0.250 0.250 0.250 [4 per cell]
Re: 0.125 0.125 0.625 [16 per cell]

Summary:
energy of formation from the pure elements	7.17	eV per formula unit

***

No. 4
# ScGe3Mo

A relaxed structure of ScGe3Mo (GGA-PBE, the Alexandria database).

Lattice parameters (Å, degrees): 4.847 4.847 4.847 90.00 90.00 90.00
Space group Pm-3m (No. 221)
Asymmetric unit:
Sc: 0.000 0.000 0.000 [1 per cell]
Ge: 0.000 0.500 0.500 [3 per cell]
Mo: 0.500 0.500 0.500 [1 per cell]

Summary:
energy of formation from the pure elements	1.52	eV per formula unit
energy above the lowest structure with this stoichiometry	0.000	eV per atom

***

Record-wise density values, in g/cm3: 6.3, 7.7, 13.3, 5.2